1.
{
  "formula": "KCeTeO5",
  "functional": "PBE",
  "state": "relaxed",
  "formation_energy_uncorrected_ev_per_atom": -1.9667,
  "lattice": [[3.9212, -5.2014, 0.0000], [3.9212, 5.2014, 0.0000], [-3.3587, 0.0000, 7.4749]],
  "species": ["K", "K", "Ce", "Ce", "Te", "Te", "O", "O", "O", "O", "O", "O", "O", "O", "O", "O"],
  "frac_coords": [[0.1774, 0.8226, 0.7500], [0.8226, 0.1774, 0.2500], [0.5000, 0.5000, 0.0000], [0.5000, 0.5000, 0.5000], [0.1820, 0.8180, 0.2500], [0.8180, 0.1820, 0.7500], [0.1211, 0.2539, 0.9038], [0.1961, 0.6215, 0.3936], [0.2539, 0.1211, 0.4038], [0.3785, 0.8039, 0.1064], [0.4424, 0.5576, 0.7500], [0.5576, 0.4424, 0.2500], [0.6215, 0.1961, 0.8936], [0.7461, 0.8789, 0.5962], [0.8039, 0.3785, 0.6064], [0.8789, 0.7461, 0.0962]]
}

---

2.
{
  "formula": "LiAs2PdBr",
  "functional": "PBE",
  "state": "relaxed",
  "formation_energy_uncorrected_ev_per_atom": 0.0483,
  "lattice": [[4.6296, 0.0000, 0.0000], [0.0000, 4.6296, 0.0000], [0.0000, 0.0000, 8.0484]],
  "species": ["Li", "As", "As", "Pd", "Br"],
  "frac_coords": [[0.0000, 0.0000, 0.0000], [0.0000, 0.5000, 0.5000], [0.5000, 0.0000, 0.5000], [0.5000, 0.5000, 0.5000], [0.5000, 0.5000, 0.0000]]
}

---

3.
{
  "formula": "NiHgAsSe2",
  "functional": "PBE",
  "state": "relaxed",
  "formation_energy_uncorrected_ev_per_atom": 1.3128,
  "lattice": [[5.2599, 0.0000, 0.0000], [0.0000, 5.2599, 0.0000], [0.0000, 0.0000, 5.1282]],
  "species": ["Ni", "Hg", "As", "Se", "Se"],
  "frac_coords": [[0.0000, 0.0000, 0.0000], [0.5000, 0.5000, 0.5000], [0.5000, 0.5000, 0.0000], [0.0000, 0.5000, 0.5000], [0.5000, 0.0000, 0.5000]]
}

---

4.
{
  "formula": "La2Zn16Ru",
  "functional": "PBE",
  "state": "relaxed",
  "delta_e_f_mev_per_atom": -243,
  "lattice": [[4.5663, 2.6364, 4.4256], [-4.5663, 2.6364, 4.4256], [0.0000, -5.2728, 4.4256]],
  "species": ["La", "La", "Zn", "Zn", "Zn", "Zn", "Zn", "Zn", "Zn", "Zn", "Zn", "Zn", "Zn", "Zn", "Zn", "Zn", "Zn", "Zn", "Ru"],
  "frac_coords": [[0.0000, 0.0000, 0.0000], [0.3300, 0.3300, 0.3300], [0.0116, 0.0116, 0.5003], [0.0116, 0.5003, 0.0116], [0.1657, 0.6532, 0.6532], [0.3110, 0.3110, 0.8113], [0.3110, 0.8113, 0.3110], [0.3741, 0.6565, 0.9392], [0.3741, 0.9392, 0.6565], [0.5003, 0.0116, 0.0116], [0.6532, 0.1657, 0.6532], [0.6532, 0.6532, 0.1657], [0.6565, 0.3741, 0.9392], [0.6565, 0.9392, 0.3741], [0.7572, 0.7572, 0.7572], [0.8113, 0.3110, 0.3110], [0.9392, 0.3741, 0.6565], [0.9392, 0.6565, 0.3741], [0.5582, 0.5582, 0.5582]]
}

---

5.
{
  "formula": "Ba3Tl5Cl12",
  "functional": "PBE",
  "state": "relaxed",
  "formation_energy_uncorrected_ev_per_atom": -1.5708,
  "lattice": [[-9.0491, 9.0491, 9.0491], [9.0491, -9.0491, 9.0491], [9.0491, 9.0491, -9.0491]],
  "species": ["Ba", "Ba", "Ba", "Ba", "Ba", "Ba", "Ba", "Ba", "Ba", "Ba", "Ba", "Ba", "Tl", "Tl", "Tl", "Tl", "Tl", "Tl", "Tl", "Tl", "Tl", "Tl", "Tl", "Tl", "Tl", "Tl", "Tl", "Tl", "Tl", "Tl", "Tl", "Tl", "Cl", "Cl", "Cl", "Cl", "Cl", "Cl", "Cl", "Cl", "Cl", "Cl", "Cl", "Cl", "Cl", "Cl", "Cl", "Cl", "Cl", "Cl", "Cl", "Cl", "Cl", "Cl", "Cl", "Cl", "Cl", "Cl", "Cl", "Cl", "Cl", "Cl", "Cl", "Cl", "Cl", "Cl", "Cl", "Cl", "Cl", "Cl", "Cl", "Cl", "Cl", "Cl", "Cl", "Cl", "Cl", "Cl", "Cl", "Cl"],
  "frac_coords": [[0.1250, 0.2500, 0.3750], [0.1250, 0.3750, 0.7500], [0.2500, 0.3750, 0.1250], [0.2500, 0.8750, 0.6250], [0.3750, 0.1250, 0.2500], [0.3750, 0.7500, 0.1250], [0.6250, 0.2500, 0.8750], [0.6250, 0.8750, 0.7500], [0.7500, 0.1250, 0.3750], [0.7500, 0.6250, 0.8750], [0.8750, 0.6250, 0.2500], [0.8750, 0.7500, 0.6250], [0.0000, 0.0000, 0.0000], [0.0000, 0.0000, 0.5000], [0.0000, 0.5000, 0.0000], [0.0000, 0.5000, 0.5000], [0.1250, 0.7500, 0.8750], [0.1250, 0.8750, 0.2500], [0.2500, 0.1250, 0.8750], [0.2500, 0.6250, 0.3750], [0.3750, 0.2500, 0.6250], [0.3750, 0.6250, 0.7500], [0.5000, 0.0000, 0.0000], [0.5000, 0.0000, 0.5000], [0.5000, 0.5000, 0.0000], [0.5000, 0.5000, 0.5000], [0.6250, 0.3750, 0.2500], [0.6250, 0.7500, 0.3750], [0.7500, 0.3750, 0.6250], [0.7500, 0.8750, 0.1250], [0.8750, 0.1250, 0.7500], [0.8750, 0.2500, 0.1250], [0.0586, 0.2256, 0.1375], [0.0586, 0.3330, 0.9211], [0.0789, 0.6375, 0.4118], [0.0789, 0.9414, 0.6670], [0.0882, 0.7256, 0.6670], [0.0882, 0.8625, 0.4211], [0.1375, 0.0586, 0.2256], [0.1375, 0.5789, 0.9118], [0.1670, 0.2256, 0.5882], [0.1670, 0.4414, 0.5789], [0.2256, 0.1375, 0.0586], [0.2256, 0.5882, 0.1670], [0.2744, 0.3330, 0.9118], [0.2744, 0.4414, 0.3625], [0.3330, 0.9118, 0.2744], [0.3330, 0.9211, 0.0586], [0.3625, 0.2744, 0.4414], [0.3625, 0.5882, 0.9211], [0.4118, 0.0789, 0.6375], [0.4118, 0.8330, 0.7744], [0.4211, 0.0882, 0.8625], [0.4211, 0.8330, 0.5586], [0.4414, 0.3625, 0.2744], [0.4414, 0.5789, 0.1670], [0.5586, 0.4211, 0.8330], [0.5586, 0.6375, 0.7256], [0.5789, 0.1670, 0.4414], [0.5789, 0.9118, 0.1375], [0.5882, 0.1670, 0.2256], [0.5882, 0.9211, 0.3625], [0.6375, 0.4118, 0.0789], [0.6375, 0.7256, 0.5586], [0.6670, 0.0789, 0.9414], [0.6670, 0.0882, 0.7256], [0.7256, 0.5586, 0.6375], [0.7256, 0.6670, 0.0882], [0.7744, 0.4118, 0.8330], [0.7744, 0.8625, 0.9414], [0.8330, 0.5586, 0.4211], [0.8330, 0.7744, 0.4118], [0.8625, 0.4211, 0.0882], [0.8625, 0.9414, 0.7744], [0.9118, 0.1375, 0.5789], [0.9118, 0.2744, 0.3330], [0.9211, 0.0586, 0.3330], [0.9211, 0.3625, 0.5882], [0.9414, 0.6670, 0.0789], [0.9414, 0.7744, 0.8625]]
}

---

6.
{
  "formula": "ReSe2Br",
  "functional": "PBE",
  "state": "relaxed",
  "formation_energy_uncorrected_ev_per_atom": 0.4002,
  "lattice": [[-1.5246, 2.5690, 5.7210], [1.5246, -2.5690, 5.7210], [1.5246, 2.5690, -5.7210]],
  "species": ["Re", "Se", "Se", "Br"],
  "frac_coords": [[0.0000, 0.0000, 0.0000], [0.1736, 0.6736, 0.5000], [0.8264, 0.3264, 0.5000], [0.5000, 0.5000, 0.0000]]
}

---

7.
{
  "formula": "RePbO4",
  "functional": "PBE",
  "state": "relaxed",
  "formation_energy_uncorrected_ev_per_atom": -1.3776,
  "lattice": [[6.1857, 0.0000, 0.0000], [0.0000, 8.8219, 0.0000], [-6.0185, 0.0000, 7.8520]],
  "species": ["Re", "Re", "Re", "Re", "Pb", "Pb", "Pb", "Pb", "O", "O", "O", "O", "O", "O", "O", "O", "O", "O", "O", "O", "O", "O", "O", "O"],
  "frac_coords": [[0.0915, 0.1831, 0.3402], [0.0915, 0.3169, 0.8402], [0.9085, 0.6831, 0.1598], [0.9085, 0.8169, 0.6598], [0.4183, 0.5406, 0.6656], [0.4183, 0.9594, 0.1656], [0.5817, 0.0406, 0.8344], [0.5817, 0.4594, 0.3344], [0.0722, 0.1326, 0.1557], [0.0722, 0.3674, 0.6557], [0.2540, 0.6878, 0.2284], [0.2540, 0.8122, 0.7284], [0.2784, 0.0607, 0.5201], [0.2780, 0.1392, 0.9069], [0.2780, 0.3608, 0.4069], [0.2784, 0.4393, 0.0201], [0.7216, 0.5607, 0.9799], [0.7220, 0.6392, 0.5931], [0.7220, 0.8608, 0.0931], [0.7216, 0.9393, 0.4799], [0.7460, 0.1878, 0.2716], [0.7460, 0.3122, 0.7716], [0.9278, 0.6326, 0.3443], [0.9278, 0.8674, 0.8443]]
}

---

8.
{
  "formula": "KPaPb2O8",
  "functional": "PBE",
  "state": "relaxed",
  "formation_energy_uncorrected_ev_per_atom": -1.4065,
  "lattice": [[-2.7919, 2.7919, 5.8121], [2.7919, -2.7919, 5.8121], [2.7919, 2.7919, -5.8121]],
  "species": ["K", "Pa", "Pb", "Pb", "O", "O", "O", "O", "O", "O", "O", "O"],
  "frac_coords": [[0.0000, 0.0000, 0.0000], [0.2500, 0.7500, 0.5000], [0.5000, 0.5000, 0.0000], [0.7500, 0.2500, 0.5000], [0.0697, 0.0986, 0.4934], [0.2309, 0.6561, 0.1049], [0.3439, 0.4488, 0.5748], [0.4237, 0.9303, 0.0289], [0.5512, 0.1260, 0.8951], [0.6051, 0.5763, 0.5066], [0.8740, 0.7691, 0.4252], [0.9014, 0.3949, 0.9711]]
}

---

9.
{
  "formula": "Sm2Ho3Ag3",
  "functional": "PBE",
  "state": "relaxed",
  "delta_e_f_mev_per_atom": -204,
  "lattice": [[-1.8527, 2.6252, 10.7841], [1.8527, -2.6252, 10.7841], [1.8527, 2.6252, -10.7841]],
  "species": ["Sm", "Sm", "Ho", "Ho", "Ho", "Ag", "Ag", "Ag"],
  "frac_coords": [[0.2314, 0.2314, 0.0000], [0.7686, 0.7686, 0.0000], [0.0000, 0.0000, 0.0000], [0.3816, 0.8816, 0.5000], [0.6184, 0.1184, 0.5000], [0.1141, 0.6141, 0.5000], [0.5000, 0.5000, 0.0000], [0.8859, 0.3859, 0.5000]]
}

---

10.
{
  "formula": "Tb2SmMg2Cd2",
  "functional": "PBE",
  "state": "relaxed",
  "delta_e_f_mev_per_atom": -104,
  "lattice": [[2.5238, 1.4571, 8.5955], [-2.5238, 1.4571, 8.5955], [0.0000, -2.9142, 8.5955]],
  "species": ["Tb", "Tb", "Sm", "Mg", "Mg", "Cd", "Cd"],
  "frac_coords": [[0.1283, 0.1283, 0.1283], [0.8717, 0.8717, 0.8717], [0.0000, 0.0000, 0.0000], [0.2659, 0.2659, 0.2659], [0.7341, 0.7341, 0.7341], [0.4032, 0.4032, 0.4032], [0.5968, 0.5968, 0.5968]]
}

---

11.
{
  "formula": "TbPu2Th",
  "functional": "PBE",
  "state": "relaxed",
  "delta_e_f_mev_per_atom": 206,
  "lattice": [[3.0176, -1.7434, 0.0000], [3.0176, 1.7434, 0.0000], [-1.9869, 0.0000, 11.3317]],
  "species": ["Tb", "Pu", "Pu", "Th"],
  "frac_coords": [[0.0000, 0.0000, 0.0000], [0.4168, 0.4168, 0.2497], [0.5852, 0.5852, 0.7496], [0.1630, 0.1630, 0.4962]]
}

---

12.
{
  "formula": "Ce8Si3PBr4",
  "functional": "PBE",
  "state": "relaxed",
  "formation_energy_uncorrected_ev_per_atom": -1.0622,
  "lattice": [[4.2168, 2.4346, 6.9677], [-4.2168, 2.4346, 6.9677], [0.0000, -4.8691, 6.9677]],
  "species": ["Ce", "Ce", "Ce", "Ce", "Ce", "Ce", "Ce", "Ce", "Si", "Si", "Si", "P", "Br", "Br", "Br", "Br"],
  "frac_coords": [[0.2421, 0.2421, 0.2421], [0.2455, 0.7385, 0.7385], [0.2615, 0.2615, 0.7545], [0.2615, 0.7545, 0.2615], [0.7385, 0.2455, 0.7385], [0.7385, 0.7385, 0.2455], [0.7545, 0.2615, 0.2615], [0.7579, 0.7579, 0.7579], [0.0000, 0.0000, 0.5000], [0.0000, 0.5000, 0.0000], [0.5000, 0.0000, 0.0000], [0.5000, 0.5000, 0.5000], [0.0000, 0.0000, 0.0000], [0.0000, 0.5000, 0.5000], [0.5000, 0.0000, 0.5000], [0.5000, 0.5000, 0.0000]]
}

---

13.
{
  "formula": "HfScSeN2",
  "functional": "PBE",
  "state": "relaxed",
  "formation_energy_uncorrected_ev_per_atom": -0.4297,
  "lattice": [[4.1050, 0.0000, 0.0000], [0.0000, 4.1050, 0.0000], [0.0000, 0.0000, 5.2812]],
  "species": ["Hf", "Sc", "Se", "N", "N"],
  "frac_coords": [[0.0000, 0.0000, 0.0000], [0.5000, 0.5000, 0.5000], [0.0000, 0.0000, 0.5000], [0.0000, 0.5000, 0.0000], [0.5000, 0.0000, 0.0000]]
}

---

14.
{
  "formula": "NaCaZr2Cd",
  "functional": "PBE",
  "state": "relaxed",
  "delta_e_f_mev_per_atom": 1205,
  "lattice": [[5.1783, 0.0000, 0.0000], [0.0000, 5.1783, 0.0000], [0.0000, 0.0000, 5.3416]],
  "species": ["Na", "Ca", "Zr", "Zr", "Cd"],
  "frac_coords": [[0.0000, 0.0000, 0.0000], [0.0000, 0.0000, 0.5000], [0.0000, 0.5000, 0.0000], [0.5000, 0.0000, 0.0000], [0.5000, 0.5000, 0.5000]]
}

---

15.
{
  "formula": "SrCa4In2",
  "functional": "PBE",
  "state": "relaxed",
  "delta_e_f_mev_per_atom": -303,
  "lattice": [[2.8151, 1.6253, 8.8968], [-2.8151, 1.6253, 8.8968], [0.0000, -3.2505, 8.8968]],
  "species": ["Sr", "Ca", "Ca", "Ca", "Ca", "In", "In"],
  "frac_coords": [[0.0000, 0.0000, 0.0000], [0.1372, 0.1372, 0.1372], [0.3982, 0.3982, 0.3982], [0.6018, 0.6018, 0.6018], [0.8628, 0.8628, 0.8628], [0.2592, 0.2592, 0.2592], [0.7408, 0.7408, 0.7408]]
}

---

16.
{
  "formula": "NaPb6",
  "functional": "PBE",
  "state": "relaxed",
  "delta_e_f_mev_per_atom": 302,
  "lattice": [[-4.3193, 4.3193, 4.3193], [4.3193, -4.3193, 4.3193], [4.3193, 4.3193, -4.3193]],
  "species": ["Na", "Pb", "Pb", "Pb", "Pb", "Pb", "Pb"],
  "frac_coords": [[0.0000, 0.0000, 0.0000], [0.2500, 0.5000, 0.7500], [0.2500, 0.7500, 0.5000], [0.5000, 0.2500, 0.7500], [0.5000, 0.7500, 0.2500], [0.7500, 0.2500, 0.5000], [0.7500, 0.5000, 0.2500]]
}

---

17.
{
  "formula": "KInPb",
  "functional": "PBE",
  "state": "relaxed",
  "delta_e_f_mev_per_atom": -84,
  "lattice": [[-1.7603, 2.2339, 6.5197], [1.7603, -2.2339, 6.5197], [1.7603, 2.2339, -6.5197]],
  "species": ["K", "In", "Pb"],
  "frac_coords": [[0.0000, 0.0000, 0.0000], [0.3170, 0.3170, 0.0000], [0.6917, 0.6917, 0.0000]]
}

---

18.
{
  "formula": "Na2VSe4",
  "functional": "PBE",
  "state": "relaxed",
  "formation_energy_uncorrected_ev_per_atom": -0.7232,
  "lattice": [[6.6484, 0.0000, 0.0000], [0.0000, 5.7670, 0.0000], [-1.4540, 0.0000, 10.5402]],
  "species": ["Na", "Na", "Na", "Na", "V", "V", "Se", "Se", "Se", "Se", "Se", "Se", "Se", "Se"],
  "frac_coords": [[0.2181, 0.2500, 0.4136], [0.2373, 0.2500, 0.9476], [0.7627, 0.7500, 0.0524], [0.7819, 0.7500, 0.5864], [0.3219, 0.7500, 0.7376], [0.6781, 0.2500, 0.2624], [0.0622, 0.7500, 0.8570], [0.2270, 0.7500, 0.5243], [0.4259, 0.5199, 0.1982], [0.4259, 0.9801, 0.1982], [0.5741, 0.0199, 0.8018], [0.5741, 0.4801, 0.8018], [0.7730, 0.2500, 0.4757], [0.9378, 0.2500, 0.1430]]
}

---

19.
{
  "formula": "KPH2S4",
  "functional": "PBE",
  "state": "relaxed",
  "final_energy_ev_per_atom": -4.1402,
  "lattice": [[-2.4910, 3.9705, 4.1963], [2.4910, -3.9705, 4.1963], [2.4910, 3.9705, -4.1963]],
  "species": ["K", "P", "H", "H", "S", "S", "S", "S"],
  "frac_coords": [[0.0000, 0.0000, 0.0000], [0.5000, 0.5000, 0.0000], [0.3567, 0.8567, 0.5000], [0.6433, 0.1433, 0.5000], [0.2140, 0.1062, 0.6106], [0.4956, 0.6033, 0.3894], [0.5044, 0.8938, 0.1077], [0.7860, 0.3967, 0.8923]]
}

---

20.
{
  "formula": "MnSi2Mo",
  "functional": "PBE",
  "state": "relaxed",
  "formation_energy_uncorrected_ev_per_atom": -0.2153,
  "lattice": [[-1.4862, 1.8093, 5.0222], [1.4862, -1.8093, 5.0222], [1.4862, 1.8093, -5.0222]],
  "species": ["Mn", "Si", "Si", "Mo"],
  "frac_coords": [[0.0000, 0.0000, 0.0000], [0.1817, 0.6817, 0.5000], [0.4483, 0.4483, 0.0000], [0.7648, 0.2648, 0.5000]]
}